Entry 1:
MgFe2Re | SCAN | single point on PBEsol structure

The structure belongs to space group Immm (No. 71); the cell edges are 3.107, 4.247 and 7.800 Å and the angles 90.00°, 90.00° and 90.00°. The inequivalent atoms are Mg at (0.000, 0.000, 0.000), Fe at (0.000, 0.500, 0.239) and Re at (0.000, 0.000, 0.500).

The uncorrected energy is -27.70 eV per atom. The crystal system is orthorhombic. The relative energy among the computed polymorphs comes out at 0.167 eV per atom. Its energy relative to the elements is 0.382 eV per atom.

---

Entry 2:
MgFeRe2 | SCAN | single point on PBEsol structure

The structure belongs to space group P4/mmm (No. 123); the cell edges are 3.015, 3.015 and 6.405 Å and the angles 90.00°, 90.00° and 90.00°. The inequivalent atoms are Mg at (0.000, 0.000, 0.000), Fe at (0.000, 0.000, 0.500) and Re at (0.500, 0.500, 0.296).

The uncorrected energy is -41.02 eV per atom. The crystal system is tetragonal. The relative energy among the computed polymorphs comes out at 0.000 eV per atom. Its energy relative to the elements is 0.307 eV per atom.

---

Entry 3:
MgFeRh2 | SCAN | single point on PBEsol structure

The structure belongs to space group P4/mmm (No. 123); the cell edges are 3.007, 3.007 and 6.117 Å and the angles 90.00°, 90.00° and 90.00°. The inequivalent atoms are Mg at (0.000, 0.000, 0.000), Fe at (0.000, 0.000, 0.500) and Rh at (0.500, 0.500, 0.269).

The uncorrected energy is -23.13 eV per atom. The crystal system is tetragonal. Its energy relative to the elements is -0.469 eV per atom.

---

Entry 4:
MgFe2Rh | SCAN | single point on PBEsol structure

The structure belongs to space group P4/mmm (No. 123); the cell edges are 3.672, 3.672 and 3.954 Å and the angles 90.00°, 90.00° and 90.00°. The inequivalent atoms are Mg at (0.000, 0.000, 0.000), Fe at (0.000, 0.500, 0.500) and Rh at (0.500, 0.500, 0.000).

The uncorrected energy is -18.88 eV per atom. The crystal system is tetragonal. Its energy relative to the elements is -0.129 eV per atom.